1.
# GGA-PBEsol Zr2NiAs2, relaxed
data_Zr2NiAs2
_cell_length_a 3.8993
_cell_length_b 3.8993
_cell_length_c 12.9819
_cell_angle_alpha 90.00
_cell_angle_beta 90.00
_cell_angle_gamma 120.00
_space_group_name_H-M_alt 'P 1'
_space_group_IT_number 1
loop_
_space_group_symop_operation_xyz
'x,y,z'
loop_
_atom_site_label
_atom_site_fract_x
_atom_site_fract_y
_atom_site_fract_z
_atom_site_occupancy
Zr1 0.6667 0.3333 0.1119 1
Zr2 0.3333 0.6667 0.6119 1
Zr3 0.3333 0.6667 0.8881 1
Zr4 0.6667 0.3333 0.3881 1
Ni1 0.0000 0.0000 0.7500 1
Ni2 0.0000 0.0000 0.2500 1
As1 0.3333 0.6667 0.2500 1
As2 0.0000 0.0000 0.5000 1
As3 0.0000 0.0000 0.0000 1
As4 0.6667 0.3333 0.7500 1
# ΔH_f (0 K): -1.09 eV per atom
# Theoretical density: 7.60 g/cm3
# DOS at the Fermi energy: 0.69 states/eV/f.u.
# E: -80.037 eV per cell

2.
# GGA-PBEsol Np3As4, relaxed
data_Np3As4
_cell_length_a 7.2177
_cell_length_b 7.2177
_cell_length_c 7.2177
_cell_angle_alpha 109.47
_cell_angle_beta 109.47
_cell_angle_gamma 109.47
_space_group_name_H-M_alt 'P 1'
_space_group_IT_number 1
loop_
_space_group_symop_operation_xyz
'x,y,z'
loop_
_atom_site_label
_atom_site_fract_x
_atom_site_fract_y
_atom_site_fract_z
_atom_site_occupancy
Np1 0.7500 0.6250 0.8750 1
Np2 0.8750 0.1250 0.7500 1
Np3 0.2500 0.8750 0.6250 1
Np4 0.1250 0.2500 0.3750 1
Np5 0.3750 0.7500 0.1250 1
Np6 0.6250 0.3750 0.2500 1
As1 0.5000 0.1593 0.5000 1
As2 0.0000 0.5000 0.6593 1
As3 0.3407 0.3407 0.8407 1
As4 0.0000 0.5000 0.1593 1
As5 0.1593 0.0000 0.0000 1
As6 0.6593 0.0000 0.0000 1
As7 0.8407 0.8407 0.3407 1
As8 0.5000 0.6593 0.5000 1
# ΔH_f (0 K): -0.48 eV per atom
# Theoretical density: 11.60 g/cm3
# DOS at the Fermi energy: 20.30 states/eV/f.u.
# E: -130.674 eV per cell

3.
# GGA-PBEsol As2O3, relaxed
data_As2O3
_cell_length_a 7.7339
_cell_length_b 7.7339
_cell_length_c 7.7339
_cell_angle_alpha 60.00
_cell_angle_beta 60.00
_cell_angle_gamma 60.00
_space_group_name_H-M_alt 'P 1'
_space_group_IT_number 1
loop_
_space_group_symop_operation_xyz
'x,y,z'
loop_
_atom_site_label
_atom_site_fract_x
_atom_site_fract_y
_atom_site_fract_z
_atom_site_occupancy
As1 0.8557 0.8557 0.8557 1
As2 0.8557 0.8557 0.4328 1
As3 0.4328 0.8557 0.8557 1
As4 0.8557 0.4328 0.8557 1
As5 0.3943 0.3943 0.8172 1
As6 0.3943 0.3943 0.3943 1
As7 0.8172 0.3943 0.3943 1
As8 0.3943 0.8172 0.3943 1
O1 0.5707 0.9293 0.5707 1
O2 0.9293 0.5707 0.9293 1
O3 0.9293 0.5707 0.5707 1
O4 0.5707 0.9293 0.9293 1
O5 0.5707 0.5707 0.9293 1
O6 0.9293 0.9293 0.5707 1
O7 0.6793 0.3207 0.3207 1
O8 0.3207 0.6793 0.6793 1
O9 0.3207 0.6793 0.3207 1
O10 0.6793 0.3207 0.6793 1
O11 0.6793 0.6793 0.3207 1
O12 0.3207 0.3207 0.6793 1
# Theoretical density: 4.02 g/cm3
# DOS at the Fermi energy: 0.00 states/eV/f.u.
# Formation energy without anion corrections: -1.17 eV/atom
# E: -127.290 eV per cell

4.
# GGA-PBEsol As2O3, relaxed
data_As2O3
_cell_length_a 6.9294
_cell_length_b 6.9294
_cell_length_c 7.6007
_cell_angle_alpha 90.00
_cell_angle_beta 90.00
_cell_angle_gamma 90.00
_space_group_name_H-M_alt 'P 1'
_space_group_IT_number 1
loop_
_space_group_symop_operation_xyz
'x,y,z'
loop_
_atom_site_label
_atom_site_fract_x
_atom_site_fract_y
_atom_site_fract_z
_atom_site_occupancy
As1 0.5452 0.7717 0.6163 1
As2 0.4548 0.2283 0.6163 1
As3 0.7283 0.0452 0.1163 1
As4 0.2717 0.9548 0.1163 1
As5 0.9548 0.7283 0.8837 1
As6 0.0452 0.2717 0.8837 1
As7 0.7717 0.4548 0.3837 1
As8 0.2283 0.5452 0.3837 1
O1 0.6539 0.6853 0.4129 1
O2 0.3461 0.3147 0.4129 1
O3 0.8147 0.1539 0.9129 1
O4 0.1853 0.8461 0.9129 1
O5 0.8461 0.8147 0.0871 1
O6 0.1539 0.1853 0.0871 1
O7 0.6853 0.3461 0.5871 1
O8 0.3147 0.6539 0.5871 1
O9 0.5000 0.0000 0.0066 1
O10 0.5000 0.0000 0.5066 1
O11 0.0000 0.5000 0.4934 1
O12 0.0000 0.5000 0.9934 1
# Theoretical density: 3.60 g/cm3
# DOS at the Fermi energy: 0.00 states/eV/f.u.
# Formation energy without anion corrections: -1.15 eV/atom
# E: -126.859 eV per cell

5.
# GGA-PBEsol As2O3, relaxed
data_As2O3
_cell_length_a 4.5261
_cell_length_b 8.0897
_cell_length_c 9.0872
_cell_angle_alpha 100.90
_cell_angle_beta 90.00
_cell_angle_gamma 90.00
_space_group_name_H-M_alt 'P 1'
_space_group_IT_number 1
loop_
_space_group_symop_operation_xyz
'x,y,z'
loop_
_atom_site_label
_atom_site_fract_x
_atom_site_fract_y
_atom_site_fract_z
_atom_site_occupancy
As1 0.2286 0.6338 0.0548 1
As2 0.7286 0.3662 0.9452 1
As3 0.2082 0.9354 0.8752 1
As4 0.7082 0.0646 0.1248 1
As5 0.5263 0.5581 0.6242 1
As6 0.0263 0.4419 0.3758 1
As7 0.5152 0.8656 0.4479 1
As8 0.0152 0.1344 0.5521 1
O1 0.3401 0.4224 0.9646 1
O2 0.8401 0.5776 0.0354 1
O3 0.2648 0.7149 0.8808 1
O4 0.7648 0.2851 0.1192 1
O5 0.5698 0.0192 0.9305 1
O6 0.0698 0.9808 0.0695 1
O7 0.1445 0.5111 0.5719 1
O8 0.6445 0.4889 0.4281 1
O9 0.5286 0.7822 0.6206 1
O10 0.0286 0.2178 0.3794 1
O11 0.6264 0.0755 0.5409 1
O12 0.1264 0.9245 0.4591 1
# Theoretical density: 4.02 g/cm3
# DOS at the Fermi energy: 0.00 states/eV/f.u.
# Formation energy without anion corrections: -1.18 eV/atom
# E: -127.358 eV per cell

6.
# GGA-PBEsol As2O3, relaxed
data_As2O3
_cell_length_a 4.4095
_cell_length_b 5.2811
_cell_length_c 15.1735
_cell_angle_alpha 90.00
_cell_angle_beta 90.00
_cell_angle_gamma 102.74
_space_group_name_H-M_alt 'P 1'
_space_group_IT_number 1
loop_
_space_group_symop_operation_xyz
'x,y,z'
loop_
_atom_site_label
_atom_site_fract_x
_atom_site_fract_y
_atom_site_fract_z
_atom_site_occupancy
As1 0.5544 0.7838 0.9588 1
As2 0.9456 0.2162 0.4588 1
As3 0.4456 0.2162 0.0412 1
As4 0.0544 0.7838 0.5412 1
As5 0.3660 0.5734 0.3224 1
As6 0.1340 0.4266 0.8224 1
As7 0.6340 0.4266 0.6776 1
As8 0.8660 0.5734 0.1776 1
O1 0.2346 0.5010 0.2083 1
O2 0.2654 0.4990 0.7083 1
O3 0.7654 0.4990 0.7917 1
O4 0.7346 0.5010 0.2917 1
O5 0.2406 0.2537 0.3743 1
O6 0.2594 0.7463 0.8743 1
O7 0.7594 0.7463 0.6257 1
O8 0.7406 0.2537 0.1257 1
O9 0.3103 0.8638 0.0494 1
O10 0.1897 0.1362 0.5494 1
O11 0.6897 0.1362 0.9506 1
O12 0.8103 0.8638 0.4506 1
# Theoretical density: 3.81 g/cm3
# DOS at the Fermi energy: 0.00 states/eV/f.u.
# Formation energy without anion corrections: -1.10 eV/atom
# E: -125.936 eV per cell

7.
# GGA-PBEsol AsOsO2, relaxed
data_AsOsO2
_cell_length_a 2.7637
_cell_length_b 2.7637
_cell_length_c 7.4042
_cell_angle_alpha 79.24
_cell_angle_beta 79.24
_cell_angle_gamma 60.00
_space_group_name_H-M_alt 'P 1'
_space_group_IT_number 1
loop_
_space_group_symop_operation_xyz
'x,y,z'
loop_
_atom_site_label
_atom_site_fract_x
_atom_site_fract_y
_atom_site_fract_z
_atom_site_occupancy
As1 0.5000 0.5000 0.5000 1
Os1 0.0000 0.0000 0.0000 1
O1 0.9151 0.9151 0.2547 1
O2 0.0849 0.0849 0.7453 1
# Theoretical density: 10.32 g/cm3
# DOS at the Fermi energy: 1.81 states/eV/f.u.
# Formation energy without anion corrections: -0.22 eV/atom
# E: -28.690 eV per cell

8.
# GGA-PBEsol AsPO4, relaxed
data_AsPO4
_cell_length_a 4.9948
_cell_length_b 7.5978
_cell_length_c 8.3251
_cell_angle_alpha 90.00
_cell_angle_beta 90.00
_cell_angle_gamma 90.00
_space_group_name_H-M_alt 'P 1'
_space_group_IT_number 1
loop_
_space_group_symop_operation_xyz
'x,y,z'
loop_
_atom_site_label
_atom_site_fract_x
_atom_site_fract_y
_atom_site_fract_z
_atom_site_occupancy
As1 0.7500 0.1801 0.2289 1
As2 0.2500 0.6801 0.2711 1
As3 0.2500 0.8199 0.7711 1
As4 0.7500 0.3199 0.7289 1
O1 0.9990 0.6881 0.1103 1
O2 0.0010 0.1881 0.3897 1
O3 0.4990 0.3119 0.8897 1
O4 0.5010 0.8119 0.6103 1
O5 0.0010 0.3119 0.8897 1
O6 0.9990 0.8119 0.6103 1
O7 0.5010 0.6881 0.1103 1
O8 0.4990 0.1881 0.3897 1
O9 0.7500 0.9397 0.2386 1
O10 0.2500 0.4397 0.2614 1
O11 0.2500 0.0603 0.7614 1
O12 0.7500 0.5603 0.7386 1
O13 0.7500 0.8981 0.9280 1
O14 0.2500 0.3981 0.5720 1
O15 0.2500 0.1019 0.0720 1
O16 0.7500 0.6019 0.4280 1
P1 0.7500 0.8111 0.0891 1
P2 0.2500 0.3110 0.4109 1
P3 0.2500 0.1890 0.9109 1
P4 0.7500 0.6889 0.5891 1
# Theoretical density: 3.57 g/cm3
# DOS at the Fermi energy: 0.00 states/eV/f.u.
# Formation energy without anion corrections: -1.74 eV/atom
# E: -169.455 eV per cell

9.
# GGA-PBEsol As2PO, relaxed
data_As2PO
_cell_length_a 4.2488
_cell_length_b 4.2488
_cell_length_c 4.2488
_cell_angle_alpha 60.00
_cell_angle_beta 60.00
_cell_angle_gamma 60.00
_space_group_name_H-M_alt 'P 1'
_space_group_IT_number 1
loop_
_space_group_symop_operation_xyz
'x,y,z'
loop_
_atom_site_label
_atom_site_fract_x
_atom_site_fract_y
_atom_site_fract_z
_atom_site_occupancy
P1 0.5000 0.5000 0.5000 1
As1 0.2500 0.2500 0.2500 1
As2 0.7500 0.7500 0.7500 1
O1 0.0000 0.0000 0.0000 1
# Theoretical density: 6.03 g/cm3
# DOS at the Fermi energy: 1.22 states/eV/f.u.
# Formation energy without anion corrections: 0.25 eV/atom
# E: -20.242 eV per cell

10.
# GGA-PBEsol RbAs2PO, relaxed
data_RbAs2PO
_cell_length_a 4.3633
_cell_length_b 4.3633
_cell_length_c 5.0792
_cell_angle_alpha 90.00
_cell_angle_beta 90.00
_cell_angle_gamma 90.00
_space_group_name_H-M_alt 'P 1'
_space_group_IT_number 1
loop_
_space_group_symop_operation_xyz
'x,y,z'
loop_
_atom_site_label
_atom_site_fract_x
_atom_site_fract_y
_atom_site_fract_z
_atom_site_occupancy
P1 0.5000 0.5000 0.5000 1
As1 0.0000 0.5000 0.0000 1
As2 0.5000 0.0000 0.0000 1
O1 0.0000 0.0000 0.0000 1
Rb1 0.0000 0.0000 0.5000 1
# Theoretical density: 4.85 g/cm3
# DOS at the Fermi energy: 2.41 states/eV/f.u.
# Formation energy without anion corrections: 0.22 eV/atom
# E: -21.203 eV per cell

11.
# GGA-PBEsol ReAsP2O, relaxed
data_ReAsP2O
_cell_length_a 3.6709
_cell_length_b 4.7394
_cell_length_c 4.7394
_cell_angle_alpha 90.00
_cell_angle_beta 90.00
_cell_angle_gamma 90.00
_space_group_name_H-M_alt 'P 1'
_space_group_IT_number 1
loop_
_space_group_symop_operation_xyz
'x,y,z'
loop_
_atom_site_label
_atom_site_fract_x
_atom_site_fract_y
_atom_site_fract_z
_atom_site_occupancy
Re1 0.0000 0.0000 0.0000 1
As1 0.5000 0.5000 0.5000 1
O1 0.5000 0.0000 0.0000 1
P1 0.0000 0.0000 0.5000 1
P2 0.0000 0.5000 0.0000 1
# Theoretical density: 6.83 g/cm3
# DOS at the Fermi energy: 3.86 states/eV/f.u.
# Formation energy without anion corrections: 0.01 eV/atom
# E: -35.227 eV per cell

12.
# GGA-PBEsol SbAsP2O, relaxed
data_SbAsP2O
_cell_length_a 3.8504
_cell_length_b 5.0098
_cell_length_c 5.0098
_cell_angle_alpha 90.00
_cell_angle_beta 90.00
_cell_angle_gamma 90.00
_space_group_name_H-M_alt 'P 1'
_space_group_IT_number 1
loop_
_space_group_symop_operation_xyz
'x,y,z'
loop_
_atom_site_label
_atom_site_fract_x
_atom_site_fract_y
_atom_site_fract_z
_atom_site_occupancy
Sb1 0.0000 0.0000 0.0000 1
As1 0.5000 0.5000 0.5000 1
O1 0.5000 0.0000 0.0000 1
P1 0.0000 0.0000 0.5000 1
P2 0.0000 0.5000 0.0000 1
# Theoretical density: 4.72 g/cm3
# DOS at the Fermi energy: 2.86 states/eV/f.u.
# Formation energy without anion corrections: 0.51 eV/atom
# E: -23.960 eV per cell